Record 1
{"formula": "TbAgNO", "functional": "PBE", "state": "relaxed", "lattice_angstrom": [[5.649, 0.000, 0.000], [0.000, 7.759, 0.000], [0.000, 0.000, 5.590]], "species": ["Tb", "Tb", "Tb", "Tb", "Ag", "Ag", "Ag", "Ag", "N", "N", "N", "N", "O", "O", "O", "O"], "frac_coords": [[0.045, 0.133, 0.000], [0.455, 0.133, 0.500], [0.545, 0.867, 0.000], [0.955, 0.867, 0.500], [0.065, 0.471, 0.634], [0.435, 0.471, 0.134], [0.565, 0.529, 0.634], [0.935, 0.529, 0.134], [0.150, 0.332, 0.310], [0.350, 0.332, 0.810], [0.650, 0.668, 0.310], [0.850, 0.668, 0.810], [0.246, 0.960, 0.243], [0.254, 0.960, 0.743], [0.746, 0.040, 0.243], [0.754, 0.040, 0.743]], "relative_energy_mev_per_atom": 0}

Record 2
{"formula": "SmDyGe2Ir", "functional": "PBE", "state": "relaxed", "lattice_angstrom": [[5.313, -2.168, 0.000], [5.313, 2.168, 0.000], [-4.707, 0.000, 9.286]], "species": ["Sm", "Sm", "Dy", "Dy", "Ge", "Ge", "Ge", "Ge", "Ir", "Ir"], "frac_coords": [[0.191, 0.191, 0.118], [0.809, 0.809, 0.882], [0.009, 0.009, 0.331], [0.991, 0.991, 0.669], [0.353, 0.353, 0.448], [0.482, 0.482, 0.118], [0.518, 0.518, 0.882], [0.647, 0.647, 0.552], [0.270, 0.270, 0.661], [0.730, 0.730, 0.339]], "relative_energy_mev_per_atom": 0}

Record 3
{"formula": "Lu2TaGa", "functional": "PBE", "state": "relaxed", "lattice_angstrom": [[0.000, 3.470, 3.470], [3.470, 0.000, 3.470], [3.470, 3.470, 0.000]], "species": ["Lu", "Lu", "Ta", "Ga"], "frac_coords": [[0.000, 0.000, 0.000], [0.250, 0.250, 0.250], [0.750, 0.750, 0.750], [0.500, 0.500, 0.500]], "total_energy_ev_per_cell": -23.25}

Record 4
{"formula": "BePdSO", "functional": "PBE", "state": "relaxed", "lattice_angstrom": [[3.680, 0.000, 0.000], [0.000, 3.680, 0.000], [0.000, 0.000, 7.724]], "species": ["Be", "Be", "Pd", "Pd", "S", "S", "O", "O"], "frac_coords": [[0.250, 0.250, 0.168], [0.750, 0.750, 0.832], [0.250, 0.250, 0.649], [0.750, 0.750, 0.351], [0.250, 0.750, 0.000], [0.750, 0.250, 0.000], [0.250, 0.250, 0.359], [0.750, 0.750, 0.641]], "relative_energy_mev_per_atom": 1010}

Record 5
{"formula": "HoRe", "functional": "PBE", "state": "relaxed", "lattice_angstrom": [[0.000, 3.148, 3.148], [3.148, 0.000, 3.148], [3.148, 3.148, 0.000]], "species": ["Ho", "Re"], "frac_coords": [[0.000, 0.000, 0.000], [0.750, 0.750, 0.750]], "e_form_ev_per_atom": 2.43}

Record 6
{"formula": "PrGeHO4", "functional": "PBE", "state": "relaxed", "lattice_angstrom": [[7.826, 0.000, 0.000], [0.000, 6.559, 0.000], [-2.870, 0.000, 6.916]], "species": ["Pr", "Pr", "Pr", "Pr", "Ge", "Ge", "Ge", "Ge", "H", "H", "H", "H", "O", "O", "O", "O", "O", "O", "O", "O", "O", "O", "O", "O", "O", "O", "O", "O"], "frac_coords": [[0.249, 0.125, 0.104], [0.249, 0.375, 0.604], [0.751, 0.625, 0.396], [0.751, 0.875, 0.896], [0.241, 0.628, 0.144], [0.241, 0.872, 0.644], [0.759, 0.128, 0.356], [0.759, 0.372, 0.856], [0.365, 0.591, 0.910], [0.365, 0.909, 0.410], [0.635, 0.091, 0.590], [0.635, 0.409, 0.090], [0.065, 0.696, 0.545], [0.065, 0.804, 0.045], [0.225, 0.077, 0.785], [0.225, 0.423, 0.285], [0.281, 0.005, 0.448], [0.281, 0.495, 0.948], [0.435, 0.715, 0.761], [0.435, 0.785, 0.261], [0.565, 0.215, 0.739], [0.565, 0.285, 0.239], [0.719, 0.505, 0.052], [0.719, 0.995, 0.552], [0.775, 0.577, 0.715], [0.775, 0.923, 0.215], [0.935, 0.196, 0.955], [0.935, 0.304, 0.455]], "relative_energy_mev_per_atom": 25}

Record 7
{"formula": "GaPdW2", "functional": "PBE", "state": "relaxed", "lattice_angstrom": [[0.000, 3.157, 3.157], [3.157, 0.000, 3.157], [3.157, 3.157, 0.000]], "species": ["Ga", "Pd", "W", "W"], "frac_coords": [[0.000, 0.000, 0.000], [0.250, 0.250, 0.250], [0.500, 0.500, 0.500], [0.750, 0.750, 0.750]], "total_energy_ev_per_cell": -33.28}

Record 8
{"formula": "Pr3Nb2Mo3N12", "functional": "PBE", "state": "relaxed", "lattice_angstrom": [[-6.516, 6.516, 6.516], [6.516, -6.516, 6.516], [6.516, 6.516, -6.516]], "species": ["Pr", "Pr", "Pr", "Pr", "Pr", "Pr", "Pr", "Pr", "Pr", "Pr", "Pr", "Pr", "Nb", "Nb", "Nb", "Nb", "Nb", "Nb", "Nb", "Nb", "Mo", "Mo", "Mo", "Mo", "Mo", "Mo", "Mo", "Mo", "Mo", "Mo", "Mo", "Mo", "N", "N", "N", "N", "N", "N", "N", "N", "N", "N", "N", "N", "N", "N", "N", "N", "N", "N", "N", "N", "N", "N", "N", "N", "N", "N", "N", "N", "N", "N", "N", "N", "N", "N", "N", "N", "N", "N", "N", "N", "N", "N", "N", "N", "N", "N", "N", "N"], "frac_coords": [[0.125, 0.250, 0.375], [0.125, 0.375, 0.750], [0.250, 0.375, 0.125], [0.250, 0.875, 0.625], [0.375, 0.125, 0.250], [0.375, 0.750, 0.125], [0.625, 0.250, 0.875], [0.625, 0.875, 0.750], [0.750, 0.125, 0.375], [0.750, 0.625, 0.875], [0.875, 0.625, 0.250], [0.875, 0.750, 0.625], [0.000, 0.000, 0.000], [0.000, 0.000, 0.500], [0.000, 0.500, 0.000], [0.000, 0.500, 0.500], [0.500, 0.000, 0.000], [0.500, 0.000, 0.500], [0.500, 0.500, 0.000], [0.500, 0.500, 0.500], [0.125, 0.750, 0.875], [0.125, 0.875, 0.250], [0.250, 0.125, 0.875], [0.250, 0.625, 0.375], [0.375, 0.250, 0.625], [0.375, 0.625, 0.750], [0.625, 0.375, 0.250], [0.625, 0.750, 0.375], [0.750, 0.375, 0.625], [0.750, 0.875, 0.125], [0.875, 0.125, 0.750], [0.875, 0.250, 0.125], [0.016, 0.201, 0.115], [0.016, 0.315, 0.901], [0.085, 0.701, 0.685], [0.085, 0.885, 0.401], [0.099, 0.615, 0.415], [0.099, 0.984, 0.685], [0.115, 0.016, 0.201], [0.115, 0.599, 0.915], [0.185, 0.201, 0.585], [0.185, 0.484, 0.599], [0.201, 0.115, 0.016], [0.201, 0.585, 0.185], [0.299, 0.315, 0.915], [0.299, 0.484, 0.385], [0.315, 0.901, 0.016], [0.315, 0.915, 0.299], [0.385, 0.299, 0.484], [0.385, 0.585, 0.901], [0.401, 0.085, 0.885], [0.401, 0.815, 0.516], [0.415, 0.099, 0.615], [0.415, 0.815, 0.799], [0.484, 0.385, 0.299], [0.484, 0.599, 0.185], [0.516, 0.401, 0.815], [0.516, 0.615, 0.701], [0.585, 0.185, 0.201], [0.585, 0.901, 0.385], [0.599, 0.185, 0.484], [0.599, 0.915, 0.115], [0.615, 0.415, 0.099], [0.615, 0.701, 0.516], [0.685, 0.085, 0.701], [0.685, 0.099, 0.984], [0.701, 0.516, 0.615], [0.701, 0.685, 0.085], [0.799, 0.415, 0.815], [0.799, 0.885, 0.984], [0.815, 0.516, 0.401], [0.815, 0.799, 0.415], [0.885, 0.401, 0.085], [0.885, 0.984, 0.799], [0.901, 0.016, 0.315], [0.901, 0.385, 0.585], [0.915, 0.115, 0.599], [0.915, 0.299, 0.315], [0.984, 0.685, 0.099], [0.984, 0.799, 0.885]], "total_energy_ev_per_cell": -735.55}

Record 9
{"formula": "Au6SO6", "functional": "PBE", "state": "relaxed", "lattice_angstrom": [[0.000, 4.621, 4.621], [4.621, 0.000, 4.621], [4.621, 4.621, 0.000]], "species": ["Au", "Au", "Au", "Au", "Au", "Au", "S", "O", "O", "O", "O", "O", "O"], "frac_coords": [[0.000, 0.000, 0.500], [0.000, 0.500, 0.000], [0.000, 0.500, 0.500], [0.500, 0.000, 0.000], [0.500, 0.000, 0.500], [0.500, 0.500, 0.000], [0.000, 0.000, 0.000], [0.186, 0.186, 0.814], [0.186, 0.814, 0.186], [0.186, 0.814, 0.814], [0.814, 0.186, 0.186], [0.814, 0.186, 0.814], [0.814, 0.814, 0.186]], "total_energy_ev_per_cell": -50.78}

Record 10
{"formula": "TbBiAsO", "functional": "PBE", "state": "relaxed", "lattice_angstrom": [[3.927, 0.000, 0.000], [0.000, 8.429, 0.000], [0.000, 0.000, 6.132]], "species": ["Tb", "Tb", "Bi", "Bi", "As", "As", "O", "O"], "frac_coords": [[0.000, 0.160, 0.000], [0.000, 0.840, 0.500], [0.500, 0.421, 0.507], [0.500, 0.579, 0.007], [0.000, 0.185, 0.500], [0.000, 0.815, 0.000], [0.500, 0.256, 0.002], [0.500, 0.744, 0.502]], "relative_energy_mev_per_atom": 71}

Record 11
{"formula": "Sm2ErO4", "functional": "PBE", "state": "relaxed", "lattice_angstrom": [[0.000, 4.850, 4.850], [4.850, 0.000, 4.850], [4.850, 4.850, 0.000]], "species": ["Sm", "Sm", "Sm", "Sm", "Er", "Er", "O", "O", "O", "O", "O", "O", "O", "O"], "frac_coords": [[0.000, 0.000, 0.000], [0.000, 0.000, 0.500], [0.000, 0.500, 0.000], [0.500, 0.000, 0.000], [0.375, 0.375, 0.375], [0.625, 0.625, 0.625], [0.244, 0.752, 0.752], [0.248, 0.248, 0.248], [0.248, 0.248, 0.756], [0.248, 0.756, 0.248], [0.752, 0.244, 0.752], [0.752, 0.752, 0.244], [0.752, 0.752, 0.752], [0.756, 0.248, 0.248]], "total_energy_ev_per_cell": -111.75}

Record 12
{"formula": "Sb2PdO4", "functional": "PBE", "state": "relaxed", "lattice_angstrom": [[8.748, 0.000, 0.000], [0.000, 8.748, 0.000], [0.000, 0.000, 5.576]], "species": ["Sb", "Sb", "Sb", "Sb", "Sb", "Sb", "Sb", "Sb", "Pd", "Pd", "Pd", "Pd", "O", "O", "O", "O", "O", "O", "O", "O", "O", "O", "O", "O", "O", "O", "O", "O"], "frac_coords": [[0.077, 0.577, 0.250], [0.077, 0.923, 0.750], [0.423, 0.577, 0.750], [0.423, 0.923, 0.250], [0.577, 0.077, 0.750], [0.577, 0.423, 0.250], [0.923, 0.077, 0.250], [0.923, 0.423, 0.750], [0.250, 0.250, 0.078], [0.250, 0.250, 0.578], [0.750, 0.750, 0.422], [0.750, 0.750, 0.922], [0.051, 0.129, 0.582], [0.051, 0.371, 0.082], [0.129, 0.051, 0.082], [0.129, 0.449, 0.582], [0.371, 0.051, 0.582], [0.371, 0.449, 0.082], [0.449, 0.129, 0.082], [0.449, 0.371, 0.582], [0.551, 0.629, 0.418], [0.551, 0.871, 0.918], [0.629, 0.551, 0.918], [0.629, 0.949, 0.418], [0.871, 0.551, 0.418], [0.871, 0.949, 0.918], [0.949, 0.629, 0.918], [0.949, 0.871, 0.418]], "relative_energy_mev_per_atom": 0}